Record 1
Cr3Cu: relaxed, PBE.

Properties
Total DFT energy (no corrections) in eV/atom: -7.935
ΔE_f in eV per atom: 0.307

Cell lengths 4.6748, 4.6748, 2.3708 Å; angles 90.00, 90.00, 114.85 degrees
Closest atoms and distances in Å follow each position.
Element x y z (fractional)
Cr 0.0000 0.0000 0.0000  10 Cr 2.37-2.62, 2 Cu 2.52
Cr 0.0000 0.5000 0.5000  8 Cr 2.37-2.62, 4 Cu 2.62
Cr 0.5000 0.0000 0.5000  8 Cr 2.37-2.62, 4 Cu 2.62
Cu 0.5000 0.5000 0.0000  2 Cu 2.37, 10 Cr 2.52-2.62

Record 2
Cr7Cu: relaxed, PBE.

Properties
Total DFT energy (no corrections) in eV/atom: -8.605
ΔE_f in eV per atom: 0.327

Cell lengths 5.1052, 5.1052, 5.1052 Å; angles 60.00, 60.00, 60.00 degrees
Closest atoms and distances in Å follow each position.
Element x y z (fractional)
Cr 0.0000 0.0000 0.0000  12 Cr 2.55
Cr 0.0000 0.0000 0.5000  10 Cr 2.55, 2 Cu 2.55
Cr 0.0000 0.5000 0.0000  10 Cr 2.55, 2 Cu 2.55
Cr 0.0000 0.5000 0.5000  2 Cu 2.55, 10 Cr 2.55
Cr 0.5000 0.0000 0.0000  10 Cr 2.55, 2 Cu 2.55
Cr 0.5000 0.0000 0.5000  2 Cu 2.55, 10 Cr 2.55
Cr 0.5000 0.5000 0.0000  2 Cu 2.55, 10 Cr 2.55
Cu 0.5000 0.5000 0.5000  12 Cr 2.55

Record 3
CrCu: relaxed, PBE.

Properties
Total DFT energy (no corrections) in eV/atom: -6.222
ΔE_f in eV per atom: 0.638

Cell lengths 3.9800, 3.9800, 7.3712 Å; angles 90.00, 90.00, 120.00 degrees
Closest atoms and distances in Å follow each position.
Element x y z (fractional)
Cr 0.3333 0.6667 0.0773  7 Cu 2.41-2.63, 4 Cr 2.55-2.57
Cr 0.3333 0.6667 0.4227  7 Cu 2.41-2.63, 4 Cr 2.55-2.57
Cr 0.6667 0.3333 0.5773  7 Cu 2.41-2.63, 4 Cr 2.55-2.57
Cr 0.6667 0.3333 0.9227  7 Cu 2.41-2.63, 4 Cr 2.55-2.57
Cu 0.0000 0.0000 0.2500  3 Cu 2.30
Cu 0.0000 0.0000 0.7500  3 Cu 2.30
Cu 0.3333 0.6667 0.7500  3 Cu 2.30, 2 Cr 2.41
Cu 0.6667 0.3333 0.2500  3 Cu 2.30, 2 Cr 2.41

Q: total DFT energy (no corrections) of number 2 (Cr7Cu)?
A: -8.605 eV/atom